A relaxed SmHo3Ru8 crystal, computed with GGA-PBE.

Geometry as POSCAR:
```
SmHo3Ru8
1.0
5.102 0.000 1.540
2.318 4.544 1.540
-0.020 -0.012 9.286
Ho Ru Sm
3 8 1
direct
0.375 0.375 0.874 Ho
0.000 0.000 0.000 Ho
0.500 0.500 0.501 Ho
0.940 0.438 0.185 Ru
0.434 0.938 0.690 Ru
0.187 0.187 0.438 Ru
0.688 0.688 0.937 Ru
0.938 0.434 0.690 Ru
0.438 0.438 0.185 Ru
0.438 0.940 0.185 Ru
0.938 0.938 0.690 Ru
0.875 0.875 0.376 Sm
```

Calculated values
DFT formation energy = -0.2838 eV per atom
DOS(E_F) = 15.08 states/eV/f.u.
Space group = R3m (160)

***

A relaxed NaDy2Pd crystal, computed with GGA-PBE.

Geometry as POSCAR:
```
NaDy2Pd
1.0
-0.443 -2.630 -2.233
2.742 1.098 -1.837
5.652 -5.384 5.221
Na Dy Pd
1 2 1
direct
0.500 0.500 0.500 Na
0.000 0.000 0.819 Dy
0.000 0.000 0.181 Dy
0.500 0.500 0.000 Pd
```

Calculated values
DFT formation energy = -0.3055 eV per atom
DOS(E_F) = 3.55 states/eV/f.u.
Space group = P4/mmm (123)
Relative energy among the computed polymorphs = 0.00 kcal/mol of atoms